[1]
# CeSiGePd2

An optimized crystal structure of CeSiGePd2 (GGA-PBE, Alexandria).

The size of the total moment is 0.587 μB per cell. Its crystal system is tetragonal. For the density of states at the Fermi level, the calculation gives 5.9 states/eV/cell. The energy comes out at -6.12 eV/atom. As for the space group: I4mm.

a = 5.8947 Å, b = 5.8947 Å, c = 5.8947 Å
α = 137.69°, β = 137.69°, γ = 61.38°
With the nearest neighbours (Å) after each atom.
Fractional positions:
Pd1 0.2553 0.7553 0.5000  2 Si 2.46, 2 Ge 2.57
Ce1 0.9993 0.9993 0.0000  4 Ge 3.22, 4 Si 3.26, 8 Pd 3.26-3.36
Pd2 0.7553 0.2553 0.5000  2 Si 2.46, 2 Ge 2.57
Si1 0.3766 0.3766 0.0000  1 Ge 2.40, 4 Pd 2.46
Ge1 0.6136 0.6136 0.0000  1 Si 2.40, 4 Pd 2.57

=====

[2]
# Ce2Sm2Ge4Pd

An optimized crystal structure of Ce2Sm2Ge4Pd (GGA-PBE, Alexandria).

The calculation puts the energy of formation from the pure elements at -0.4781 eV/atom. The size of the total moment is 2.050 μB per cell. Its crystal system is tetragonal. For the density of states at the Fermi level, the calculation gives 7.5 states/eV/cell. The energy comes out at -5.47 eV/atom. As for the space group: I4/mmm.

a = 6.5871 Å, b = 6.5871 Å, c = 6.5871 Å
α = 102.45°, β = 113.09°, γ = 113.09°
With the nearest neighbours (Å) after each atom.
Fractional positions:
Ge1 0.0000 0.7581 0.2419  1 Pd 2.48
Pd1 0.0000 0.0000 0.0000  4 Ge 2.48, 2 Ce 2.76
Sm1 0.5000 0.2500 0.7500  8 Ge 3.29
Ge2 0.0000 0.2419 0.7581  1 Pd 2.48
Ge3 0.4837 0.2419 0.2419  1 Pd 2.48
Sm2 0.5000 0.7500 0.2500  8 Ge 3.29
Ge4 0.5163 0.7581 0.7581  1 Pd 2.48
Ce1 0.0000 0.3347 0.3347  1 Ce 2.73, 1 Pd 2.76, 4 Ge 2.98
Ce2 0.0000 0.6653 0.6653  1 Ce 2.73, 1 Pd 2.76, 4 Ge 2.98

=====

[3]
# Ce2SnGe4Pd3

An optimized crystal structure of Ce2SnGe4Pd3 (GGA-PBE, Alexandria).

The calculation puts the energy of formation from the pure elements at -0.6451 eV/atom. The size of the total moment is 1.626 μB per cell. Its crystal system is tetragonal. For the density of states at the Fermi level, the calculation gives 16.0 states/eV/cell. The energy comes out at -5.64 eV/atom. As for the space group: P-4m2.

a = 4.3770 Å, b = 4.3770 Å, c = 10.6144 Å
α = 90.00°, β = 90.00°, γ = 90.00°
With the nearest neighbours (Å) after each atom.
Fractional positions:
Pd1 0.0000 0.0000 0.5000  4 Ge 2.73
Ge1 0.0000 0.0000 0.0000  4 Pd 2.53
Ge2 0.0000 0.5000 0.3468  1 Pd 2.42
Pd2 0.0000 0.5000 0.1188  5 Ge 2.42-2.53
Ce1 0.0000 0.5000 0.7656  8 Ge 3.31-3.32, 6 Pd 3.33-3.57, 2 Sn 3.57
Sn1 0.5000 0.5000 0.5000  4 Ge 2.73
Pd3 0.5000 0.0000 0.8812  5 Ge 2.42-2.53
Ge3 0.5000 0.5000 0.0000  4 Pd 2.53
Ge4 0.5000 0.0000 0.6532  1 Pd 2.42
Ce2 0.5000 0.0000 0.2344  8 Ge 3.31-3.32, 6 Pd 3.33-3.57, 2 Sn 3.57

=====

[4]
# CeSnGePd

An optimized crystal structure of CeSnGePd (GGA-PBE, Alexandria).

The calculation puts the energy of formation from the pure elements at -0.5446 eV/atom. The size of the total moment is 0.459 μB per cell. Its crystal system is monoclinic. For the density of states at the Fermi level, the calculation gives 5.0 states/eV/cell. The energy comes out at -5.48 eV/atom. As for the space group: Cm.

a = 4.7876 Å, b = 3.5589 Å, c = 6.2568 Å
α = 106.45°, β = 112.49°, γ = 90.00°
With the nearest neighbours (Å) after each atom.
Fractional positions:
Sn1 0.9625 0.4185 0.9250  2 Pd 2.63, 1 Ge 2.73
Ce1 0.2977 0.7565 0.5953  4 Ge 3.12, 2 Pd 3.39-3.40, 2 Sn 3.49
Ge1 0.7142 0.1729 0.4283  2 Pd 2.45, 1 Sn 2.73
Pd1 0.5605 0.5199 0.1211  2 Ge 2.45, 2 Sn 2.63